The following is a GGA-PBEsol calculation of NaZn2H3S2O8 after structural relaxation, from Alexandria via LeMat-Bulk.

Cell lengths 6.3025, 7.6951, 8.8246 Å; angles 114.45, 92.69, 112.30 degrees
With the nearest neighbours (Å) after each atom.
Positions (direct):
Na  0.1587  0.2618  0.0849  5 O 2.36-2.50
Na  0.8413  0.7382  0.9151  5 O 2.36-2.50
Zn  0.0000  0.5000  0.5000  6 O 2.09-2.18
Zn  0.4914  0.9790  0.8019  6 O 2.05-2.16
Zn  0.5000  0.5000  0.5000  6 O 2.06-2.21
Zn  0.5086  0.0210  0.1981  6 O 2.05-2.16
H  0.2102  0.7025  0.2650  1 O 1.01
H  0.3798  0.7749  0.4866  1 O 1.00
H  0.4710  0.7076  0.2679  1 O 1.01
H  0.5290  0.2924  0.7321  1 O 1.01
H  0.6202  0.2251  0.5134  1 O 1.00
H  0.7898  0.2975  0.7350  1 O 1.01
S  0.0420  0.0408  0.3033  3 O 1.52-1.57
S  0.2838  0.5458  0.8536  3 O 1.54-1.55
S  0.7162  0.4542  0.1464  3 O 1.54-1.55
S  0.9580  0.9592  0.6967  3 O 1.52-1.57
O  0.0475  0.4708  0.7330  1 S 1.54, 1 H 1.67
O  0.1384  0.2871  0.3696  1 S 1.57
O  0.1654  0.9803  0.1553  1 S 1.55
O  0.2110  0.0539  0.7979  1 S 1.52
O  0.3569  0.7133  0.5677  1 H 1.00
O  0.3843  0.7990  0.2967  2 H 1.01
O  0.4006  0.7904  0.9299  1 S 1.55
O  0.4438  0.4775  0.7374  1 S 1.55, 1 H 1.69
O  0.5562  0.5225  0.2626  1 S 1.55, 1 H 1.69
O  0.5994  0.2096  0.0701  1 S 1.55
O  0.6157  0.2010  0.7033  2 H 1.01
O  0.6431  0.2867  0.4323  1 H 1.00
O  0.7890  0.9461  0.2021  1 S 1.52
O  0.8346  0.0197  0.8447  1 S 1.55
O  0.8616  0.7129  0.6304  1 S 1.57
O  0.9525  0.5292  0.2670  1 S 1.54, 1 H 1.67

Summary:
Space-group type = P-1
E = -0.3976 Ry per atom
Fermi-level density of states = 0.00 states/eV per cell
Size of the total moment = 0.000 μB per atom